(1)
Crystalline Ba2LiPb4Au3 at its relaxed geometry, computed with PBE.

The structure in extended XYZ format:
```
10
Lattice="-1.338 2.561 4.009 -1.698 -4.147 2.082 10.738 -1.967 4.839" Properties=species:S:1:pos:R:3 pbc="T T T"
Ba 2.103 0.773 3.254
Ba 7.117 -3.533 4.632
Li 3.851 -1.777 5.466
Pb -1.518 -0.793 3.046
Pb 0.000 0.000 0.000
Pb 6.021 0.055 5.020
Pb 3.199 -2.815 2.866
Au 5.369 -0.984 2.420
Au 8.569 -0.412 6.168
Au 0.650 -2.348 1.717
```

ΔH_f (0 K)   -0.454 eV/atom
Space group   No. 115

(2)
Crystalline Zn2OsPt at its relaxed geometry, computed with PBE.

The structure in extended XYZ format:
```
4
Lattice="-4.058 0.442 2.113 -3.760 -2.182 1.494 1.435 -0.932 4.640" Properties=species:S:1:pos:R:3 pbc="T T T"
Os -1.596 -0.668 2.062
Pt -4.788 -2.004 6.186
Zn -7.805 -1.742 3.625
Zn -3.205 -1.333 4.106
```

ΔH_f (0 K)   -0.039 eV/atom
Space group   No. 12

(3)
Crystalline Li2OsPbCl8 at its relaxed geometry, computed with PBE.

The structure in extended XYZ format:
```
12
Lattice="6.327 -0.565 -0.038 -0.617 6.684 1.227 -0.106 1.680 8.091" Properties=species:S:1:pos:R:3 pbc="T T T"
Li 3.082 3.110 5.974
Li 2.522 4.689 3.305
Os 0.000 0.000 0.000
Pb -0.053 0.840 4.045
Cl 0.165 5.547 3.170
Cl 3.752 4.858 1.233
Cl 5.343 1.068 1.331
Cl 5.439 2.252 6.109
Cl 1.852 2.941 8.046
Cl 0.261 6.731 7.948
Cl 3.253 5.420 5.424
Cl 2.350 2.379 3.855
```

VASP energy   -3.83 eV/atom
Space group   No. 2

(4)
Crystalline Nd8Sm3Er at its relaxed geometry, computed with PBE.

The structure in extended XYZ format:
```
12
Lattice="8.373 -1.326 -2.394 -5.953 6.364 -1.284 1.115 1.326 8.636" Properties=species:S:1:pos:R:3 pbc="T T T"
Nd 2.905 1.304 0.557
Nd 0.625 5.068 4.409
Nd 4.081 3.734 -1.230
Nd -0.541 2.622 6.181
Nd 0.348 1.915 2.852
Nd 5.616 0.589 -1.584
Nd -2.081 5.775 6.543
Nd 3.187 4.450 2.107
Sm 0.029 4.395 -0.045
Sm 3.505 1.969 5.004
Sm -2.419 3.845 3.676
Er 0.000 0.000 0.000
```

ΔH_f (0 K)   0.309 eV/atom
Space group   No. 23

Respective V values: 29.16, 14.53, 27.20, 37.00 Å³ per atom.